No. 1
A plane-wave DFT calculation with PBE-GGA was carried out for a geometry-optimized GaSnHg2I structure.

Computed properties:
Magnetic moment ... 0.0 Bohr magnetons per cell
Formation energy without anion corrections ... 0.1 eV/f.u.
Crystal system ... tetragonal

a b c (Å): 5.293 5.293 5.645
angles (deg): 90.00 90.00 90.00
Atoms (fractional coordinates):
I  0.500  0.500  0.500
Hg  0.000  0.500  0.000
Hg  0.500  0.000  0.000
Ga  0.000  0.000  0.000
Sn  0.000  0.000  0.500

No. 2
A plane-wave DFT calculation with PBE-GGA was carried out for a geometry-optimized YCuTe3 structure.

Computed properties:
Magnetic moment ... 0.0 Bohr magnetons per cell
Formation energy without anion corrections ... -1.0 eV/f.u.
Crystal system ... cubic

a b c (Å): 5.158 5.158 5.158
angles (deg): 90.00 90.00 90.00
Atoms (fractional coordinates):
Y  0.500  0.500  0.500
Te  0.000  0.500  0.000
Te  0.000  0.000  0.500
Te  0.500  0.000  0.000
Cu  0.000  0.000  0.000

No. 3
A plane-wave DFT calculation with PBE-GGA was carried out for a geometry-optimized BeGaC2 structure.

Computed properties:
Calculated formation energy ... 0.986 eV/atom
Magnetic moment ... 0.0 Bohr magnetons per cell
Crystal system ... tetragonal

a b c (Å): 3.664 3.664 6.161
angles (deg): 72.70 72.70 90.00
Atoms (fractional coordinates):
Be  0.500  0.500  0.000
Be  0.250  0.750  0.500
C  0.502  0.125  0.250
C  0.248  0.625  0.250
C  0.375  0.498  0.750
C  0.875  0.752  0.750
Ga  0.000  0.000  0.000
Ga  0.750  0.250  0.500

No. 4
A plane-wave DFT calculation with PBE-GGA was carried out for a geometry-optimized BaCrCd2 structure.

Computed properties:
Calculated formation energy ... 0.363 eV/atom
Magnetic moment ... 4.6 Bohr magnetons per cell
Crystal system ... monoclinic

a b c (Å): 8.520 4.988 4.795
angles (deg): 89.89 55.90 125.77
Last column: magnetic moment on the atom in μB.
Atoms (fractional coordinates):
Ba  0.500  0.500  0.000  0.00
Cd  0.000  0.000  0.000  -0.01
Cd  0.500  0.000  0.500  -0.01
Cr  0.000  0.500  0.500  4.02

No. 5
A plane-wave DFT calculation with PBE-GGA was carried out for a geometry-optimized LiNdPt structure.

Computed properties:
Calculated formation energy ... -0.615 eV/atom
Magnetic moment ... 0.0 Bohr magnetons per cell
Crystal system ... tetragonal

a b c (Å): 3.773 3.773 5.256
angles (deg): 111.03 111.03 90.00
Atoms (fractional coordinates):
Nd  0.936  0.936  0.872
Pt  0.286  0.286  0.572
Li  0.628  0.628  0.256

No. 6
A plane-wave DFT calculation with PBE-GGA was carried out for a geometry-optimized HgRh2Se structure.

Computed properties:
Magnetic moment ... 0.0 Bohr magnetons per cell
Formation energy without anion corrections ... 0.2 eV/f.u.
Crystal system ... monoclinic

a b c (Å): 4.692 3.308 4.769
angles (deg): 89.92 90.00 90.00
Atoms (fractional coordinates):
Hg  0.500  0.875  0.750
Rh  0.000  0.876  0.079
Rh  0.500  0.375  0.243
Se  0.000  0.375  0.428

No. 7
A plane-wave DFT calculation with PBE-GGA was carried out for a geometry-optimized InSCl2O structure.

Computed properties:
Magnetic moment ... 0.0 Bohr magnetons per cell
Formation energy without anion corrections ... 1.5 eV/f.u.
Crystal system ... tetragonal

a b c (Å): 4.761 4.761 4.255
angles (deg): 90.00 90.00 90.00
Atoms (fractional coordinates):
S  0.000  0.000  0.500
Cl  0.000  0.500  0.000
Cl  0.500  0.000  0.000
O  0.000  0.000  0.000
In  0.500  0.500  0.500

No. 8
A plane-wave DFT calculation with PBE-GGA was carried out for a geometry-optimized SrPr3Te4 structure.

Computed properties:
Magnetic moment ... 0.0 Bohr magnetons per cell
Formation energy without anion corrections ... -12.0 eV/f.u.
Crystal system ... orthorhombic

a b c (Å): 4.537 7.940 7.940
angles (deg): 108.97 90.00 90.00
Atoms (fractional coordinates):
Sr  0.500  0.000  0.000
Pr  0.000  0.000  0.500
Pr  0.500  0.500  0.500
Pr  0.000  0.500  0.000
Te  0.000  0.253  0.253
Te  0.500  0.749  0.251
Te  0.000  0.747  0.747
Te  0.500  0.251  0.749

Please write out number 8 again, unchanged.
A plane-wave DFT calculation with PBE-GGA was carried out for a geometry-optimized SrPr3Te4 structure.

Computed properties:
Magnetic moment ... 0.0 Bohr magnetons per cell
Formation energy without anion corrections ... -12.0 eV/f.u.
Crystal system ... orthorhombic

a b c (Å): 4.537 7.940 7.940
angles (deg): 108.97 90.00 90.00
Atoms (fractional coordinates):
Sr  0.500  0.000  0.000
Pr  0.000  0.000  0.500
Pr  0.500  0.500  0.500
Pr  0.000  0.500  0.000
Te  0.000  0.253  0.253
Te  0.500  0.749  0.251
Te  0.000  0.747  0.747
Te  0.500  0.251  0.749

Copy entry 5 word for word.
A plane-wave DFT calculation with PBE-GGA was carried out for a geometry-optimized LiNdPt structure.

Computed properties:
Calculated formation energy ... -0.615 eV/atom
Magnetic moment ... 0.0 Bohr magnetons per cell
Crystal system ... tetragonal

a b c (Å): 3.773 3.773 5.256
angles (deg): 111.03 111.03 90.00
Atoms (fractional coordinates):
Nd  0.936  0.936  0.872
Pt  0.286  0.286  0.572
Li  0.628  0.628  0.256

- Which value of magnetic moment does entry 3 give?
  0.0 Bohr magnetons per cell